[1]
Here is a relaxed Ac2Al3Zn4Au crystal from Alexandria via LeMat-Bulk. Energies are from PBE.

Formation energy: -405.7 meV/atom
Total energy: -0.234 Ry per atom
DOS at the Fermi energy: 0.646 states/eV per atom
Crystal system: tetragonal

abc: 4.517 4.517 10.606
angles: 90.00 90.00 90.00
Fractional coordinates of all 10 atoms:
Ac: 0.000 0.500 0.248
Ac: 0.500 0.000 0.752
Al: 0.000 0.500 0.874
Al: 0.500 0.000 0.126
Al: 0.500 0.500 0.500
Zn: 0.000 0.000 0.000
Zn: 0.000 0.500 0.631
Zn: 0.500 0.000 0.369
Zn: 0.500 0.500 0.000
Au: 0.000 0.000 0.500



[2]
Here is a relaxed Ac2PaRh3 crystal from Alexandria via LeMat-Bulk. Energies are from PBE.

Formation energy: -700.5 meV/atom
Total energy: -0.539 Ry per atom
DOS at the Fermi energy: 0.609 states/eV per atom
Crystal system: monoclinic

abc: 7.875 7.875 6.402
angles: 101.78 101.78 120.29
Fractional coordinates of all 12 atoms:
Ac: 0.000 0.000 0.000
Ac: 0.170 0.830 0.500
Ac: 0.500 0.500 0.500
Ac: 0.830 0.170 0.500
Pa: 0.335 0.665 0.000
Pa: 0.665 0.335 0.000
Rh: 0.047 0.404 0.154
Rh: 0.303 0.303 0.839
Rh: 0.404 0.047 0.154
Rh: 0.596 0.953 0.846
Rh: 0.697 0.697 0.161
Rh: 0.953 0.596 0.846



[3]
Here is a relaxed CsRbBe2Co crystal from Alexandria via LeMat-Bulk. Energies are from PBE.

Formation energy: 1905.9 meV/atom
Total energy: -0.101 Ry per atom
Relative energy among the computed polymorphs: 964 meV/atom
DOS at the Fermi energy: 0.704 states/eV per atom
Crystal system: tetragonal

abc: 6.263 6.263 6.264
angles: 90.00 90.00 90.00
Fractional coordinates of all 5 atoms:
Cs: 0.000 0.000 0.000
Rb: 0.500 0.500 0.500
Be: 0.000 0.500 0.500
Be: 0.500 0.000 0.500
Co: 0.500 0.500 0.000



[4]
Here is a relaxed AcSmSc crystal from Alexandria via LeMat-Bulk. Energies are from PBE.

Formation energy: 102.6 meV/atom
Total energy: -0.364 Ry per atom
Relative energy among the computed polymorphs: 0 meV/atom
DOS at the Fermi energy: 1.471 states/eV per atom
Crystal system: tetragonal

abc: 7.785 7.785 7.785
angles: 152.29 152.29 39.59
Fractional coordinates of all 3 atoms:
Ac: 0.000 0.000 0.000
Sm: 0.685 0.685 0.000
Sc: 0.334 0.334 0.000



[5]
Here is a relaxed PuAg3Hg crystal from Alexandria via LeMat-Bulk. Energies are from PBE.

Formation energy: 10.6 meV/atom
Total energy: -0.340 Ry per atom
Relative energy among the computed polymorphs: 16 meV/atom
DOS at the Fermi energy: 2.904 states/eV per atom
Crystal system: monoclinic

abc: 6.084 5.800 6.288
angles: 90.00 93.15 90.00
Fractional coordinates of all 10 atoms:
Pu: 0.151 0.250 0.152
Pu: 0.849 0.750 0.848
Ag: 0.350 0.501 0.664
Ag: 0.350 0.999 0.664
Ag: 0.371 0.750 0.046
Ag: 0.629 0.250 0.954
Ag: 0.650 0.001 0.336
Ag: 0.650 0.499 0.336
Hg: 0.059 0.750 0.362
Hg: 0.941 0.250 0.638



[6]
Here is a relaxed ScTeCl2 crystal from Alexandria via LeMat-Bulk. Energies are from PBE.

Total energy: -0.334 Ry per atom
Relative energy among the computed polymorphs: 260 meV/atom
DOS at the Fermi energy: 0.680 states/eV per atom
Uncorrected formation energy: -1.2493 eV per atom
Crystal system: tetragonal

abc: 3.154 3.154 10.971
angles: 90.00 90.00 90.00
Fractional coordinates of all 4 atoms:
Sc: 0.000 0.000 0.000
Te: 0.000 0.000 0.500
Cl: 0.500 0.500 0.139
Cl: 0.500 0.500 0.861



Q: Which of these has the highest total energy?
A: CsRbBe2Co



Q: Number 2 is which compound?
A: Ac2PaRh3



Q: Among the records above, which one has the lowest DOS at the Fermi energy?
A: Ac2PaRh3